This record from Alexandria via LeMat-Bulk describes crystalline Li5SeO5 at its relaxed geometry. The functional is PBE-GGA.

Unit cell a=4.160 b=5.192 c=5.760 alpha=107.32 beta=90.00 gamma=113.62
Sites, in units of the cell vectors:
Li 0.694 0.400 0.330
Li 0.680 0.370 0.862
Li 0.004 0.000 0.500
Li 0.311 0.630 0.138
Li 0.294 0.600 0.670
Se 0.970 0.000 0.000
O 0.857 0.714 0.171
O 0.844 0.687 0.685
O 0.544 0.000 0.000
O 0.157 0.313 0.315
O 0.143 0.286 0.829

Summary:
crystal system: monoclinic
space-group type: C2, No. 5
formation energy without anion corrections: -17.0 eV per formula unit

This record from Alexandria via LeMat-Bulk describes crystalline TcRhBr2 at its relaxed geometry. The functional is PBE-GGA.

Unit cell a=3.231 b=3.232 c=6.477 alpha=90.00 beta=90.00 gamma=90.00
Sites, in units of the cell vectors:
Rh 0.500 0.500 0.250
Tc 0.500 0.500 0.750
Br 0.000 0.000 0.992
Br 0.000 0.000 0.508

Summary:
crystal system: tetragonal
excess energy over the best structure of this formula in the dataset: 0.7291 eV/atom
space-group type: P4/mmm, No. 123
formation energy without anion corrections: 3.4 eV per formula unit

This record from Alexandria via LeMat-Bulk describes crystalline TbAlN2 at its relaxed geometry. The functional is PBE-GGA.

Unit cell a=3.662 b=3.662 c=6.186 alpha=72.78 beta=72.78 gamma=60.00
Sites, in units of the cell vectors:
Tb 0.500 0.500 0.500
Al 0.000 0.000 0.000
N 0.100 0.100 0.701
N 0.900 0.900 0.299

Summary:
crystal system: trigonal
space-group type: R-3m, No. 166
formation energy without anion corrections: -3.6 eV per formula unit

This record from Alexandria via LeMat-Bulk describes crystalline In2HgBiH at its relaxed geometry. The functional is PBE-GGA.

Unit cell a=4.792 b=4.792 c=5.090 alpha=90.00 beta=90.00 gamma=90.00
Sites, in units of the cell vectors:
H 0.000 0.000 0.000
In 0.000 0.500 0.000
In 0.500 0.000 0.000
Bi 0.500 0.500 0.500
Hg 0.000 0.000 0.500

Summary:
crystal system: tetragonal
total DFT energy (no corrections): -2.392 eV/atom
space-group type: P4/mmm, No. 123

This record from Alexandria via LeMat-Bulk describes crystalline ZrZn7 at its relaxed geometry. The functional is PBE-GGA.

Unit cell a=5.730 b=5.730 c=5.730 alpha=60.00 beta=60.00 gamma=60.00
Sites, in units of the cell vectors:
Zr 0.000 0.000 0.000
Zn 0.000 0.000 0.500
Zn 0.500 0.000 0.500
Zn 0.000 0.500 0.500
Zn 0.500 0.500 0.000
Zn 0.000 0.500 0.000
Zn 0.500 0.000 0.000
Zn 0.500 0.500 0.500

Summary:
crystal system: cubic
excess energy over the best structure of this formula in the dataset: 0.0709 eV/atom
space-group type: Fm-3m, No. 225

This record from Alexandria via LeMat-Bulk describes crystalline PaTi2V at its relaxed geometry. The functional is PBE-GGA.

Unit cell a=3.096 b=3.096 c=7.664 alpha=90.00 beta=90.00 gamma=90.00
Sites, in units of the cell vectors:
Pa 0.500 0.500 0.500
Ti 0.000 0.000 0.801
Ti 0.000 0.000 0.199
V 0.500 0.500 0.000

Summary:
crystal system: tetragonal
excess energy over the best structure of this formula in the dataset: 0.0276 eV/atom
space-group type: P4/mmm, No. 123